Here is a relaxed CrPI2O crystal from Alexandria via LeMat-Bulk. Energies are from PBE with a Hubbard U.

a = 5.644 Å, b = 5.644 Å, c = 3.664 Å
α = 90.00°, β = 90.00°, γ = 90.00°
Fractional coordinates of all 5 atoms:
Cr  0.000  0.000  0.000
O  0.000  0.000  0.500
I  0.500  0.000  0.000
I  0.000  0.500  0.000
P  0.500  0.500  0.500

Calculated values
The value obtained for the distance to the lowest polymorph of the same formula is 179 meV per atom. The value obtained for the total magnetization is 3.07 μB/f.u. The calculated volume comes out at 23.34 Å³ per atom. The symmetry is P4/mmm, No. 123. The calculation puts the mass density at 5.02 g cm⁻³.